The following is a PBE calculation of crystalline CaNbF6 at its relaxed geometry, from the Alexandria database.

a b c (Å): 5.3638 5.3638 5.2269
angles (deg): 90.00 90.00 120.00
Sites, in units of the cell vectors:
Ca1 0.0000 0.0000 0.0000
Nb1 0.6667 0.3333 0.5000
F1 0.3584 0.0439 0.7335
F2 0.3584 0.3145 0.2665
F3 0.6855 0.0439 0.2665
F4 0.6855 0.6416 0.7335
F5 0.9561 0.3145 0.7335
F6 0.9561 0.6416 0.2665

* total energy: -49.680 eV/f.u.
* density of states at the Fermi level: 7.3 states/eV/cell
* ΔE_f (raw): -3.298 eV per atom
* mass density: 3.149 g/cm³

***

The following is a PBE calculation of crystalline CaNb2F at its relaxed geometry, from the Alexandria database.

a b c (Å): 4.7916 4.7916 4.7916
angles (deg): 60.00 60.00 60.00
Sites, in units of the cell vectors:
Ca1 0.0000 0.0000 0.0000
Nb1 0.2500 0.2500 0.2500
Nb2 0.7500 0.7500 0.7500
F1 0.5000 0.5000 0.5000

* total energy: -19.920 eV/f.u.
* density of states at the Fermi level: 7.5 states/eV/cell
* energy relative to the lowest polymorph listed for this composition: 773.6 meV/atom
* ΔE_f (raw): 1.023 eV per atom
* mass density: 5.227 g/cm³

***

The following is a PBE calculation of crystalline Ca2NbF at its relaxed geometry, from the Alexandria database.

a b c (Å): 5.3576 5.3576 5.3576
angles (deg): 60.00 60.00 60.00
Sites, in units of the cell vectors:
Ca1 0.2500 0.2500 0.2500
Ca2 0.7500 0.7500 0.7500
Nb1 0.0000 0.0000 0.0000
F1 0.5000 0.5000 0.5000

* total energy: -15.624 eV/f.u.
* density of states at the Fermi level: 2.8 states/eV/cell
* energy relative to the lowest polymorph listed for this composition: 655.9 meV/atom
* ΔE_f (raw): 0.080 eV per atom
* mass density: 2.933 g/cm³

***

The following is a PBE calculation of crystalline Ca3NbF at its relaxed geometry, from the Alexandria database.

a b c (Å): 5.0185 5.0185 5.0185
angles (deg): 90.00 90.00 90.00
Sites, in units of the cell vectors:
Ca1 0.0000 0.0000 0.5000
Ca2 0.0000 0.5000 0.0000
Ca3 0.5000 0.0000 0.0000
Nb1 0.5000 0.5000 0.5000
F1 0.0000 0.0000 0.0000

* total energy: -20.987 eV/f.u.
* density of states at the Fermi level: 1.7 states/eV/cell
* energy relative to the lowest polymorph listed for this composition: 0.0 meV/atom
* ΔE_f (raw): -0.608 eV per atom
* mass density: 3.050 g/cm³

***

The following is a PBE calculation of crystalline Ca3NbF at its relaxed geometry, from the Alexandria database.

a b c (Å): 5.6498 5.6498 5.6498
angles (deg): 90.00 90.00 90.00
Sites, in units of the cell vectors:
Ca1 0.0000 0.0000 0.5000
Ca2 0.0000 0.5000 0.0000
Ca3 0.5000 0.0000 0.0000
Nb1 0.0000 0.0000 0.0000
F1 0.5000 0.5000 0.5000

* total energy: -15.456 eV/f.u.
* density of states at the Fermi level: 10.8 states/eV/cell
* energy relative to the lowest polymorph listed for this composition: 1106.1 meV/atom
* ΔE_f (raw): 0.498 eV per atom
* mass density: 2.137 g/cm³

***

The following is a PBE calculation of crystalline Ca7NbSi4O17F at its relaxed geometry, from the Alexandria database.

a b c (Å): 7.4479 10.5463 10.9883
angles (deg): 90.00 109.60 90.00
Sites, in units of the cell vectors:
Ca1 0.0000 0.1186 0.0000
Ca2 0.0000 0.8814 0.5000
Ca3 0.2884 0.1665 0.6141
Ca4 0.2884 0.8335 0.1141
Ca5 0.3535 0.3464 0.2533
Ca6 0.3535 0.6536 0.7533
Ca7 0.4868 0.1270 0.0212
Ca8 0.4868 0.8730 0.5212
Ca9 0.6707 0.3666 0.8511
Ca10 0.6707 0.6334 0.3511
Ca11 0.7967 0.1487 0.6262
Ca12 0.7967 0.8513 0.1262
Ca13 0.8645 0.3396 0.2625
Ca14 0.8645 0.6604 0.7625
Nb1 0.1756 0.3613 0.8764
Nb2 0.1756 0.6387 0.3764
Si1 0.1043 0.0607 0.3005
Si2 0.1043 0.9393 0.8005
Si3 0.5509 0.4434 0.5698
Si4 0.5509 0.5566 0.0698
Si5 0.6666 0.0570 0.3093
Si6 0.6666 0.9430 0.8093
Si7 0.9700 0.4309 0.5547
Si8 0.9700 0.5691 0.0547
O1 0.0926 0.4896 0.6973
O2 0.0926 0.5104 0.1973
O3 0.0992 0.0200 0.6724
O4 0.0992 0.9800 0.1724
O5 0.1237 0.2118 0.2780
O6 0.1237 0.7882 0.7780
O7 0.2380 0.0082 0.4409
O8 0.2380 0.9918 0.9409
O9 0.2497 0.2786 0.0392
O10 0.2497 0.7214 0.5392
O11 0.3597 0.2714 0.8238
O12 0.3597 0.7286 0.3238
O13 0.3775 0.4856 0.4393
O14 0.3775 0.5144 0.9393
O15 0.5433 0.0308 0.6883
O16 0.5433 0.9692 0.1883
O17 0.5465 0.2952 0.6083
O18 0.5465 0.7048 0.1083
O19 0.5800 0.4715 0.2000
O20 0.5800 0.5285 0.7000
O21 0.6146 0.2058 0.2749
O22 0.6146 0.7942 0.7749
O23 0.6839 0.0066 0.4531
O24 0.6839 0.9934 0.9531
O25 0.7410 0.4724 0.5258
O26 0.7410 0.5276 0.0258
O27 0.8877 0.0281 0.3078
O28 0.8877 0.9719 0.8078
O29 0.9430 0.2643 0.8172
O30 0.9430 0.7357 0.3172
O31 0.9895 0.2792 0.5411
O32 0.9895 0.7208 0.0411
O33 0.9957 0.4982 0.9279
O34 0.9957 0.5018 0.4279
F1 0.7662 0.2508 0.0426
F2 0.7662 0.7492 0.5426

* total energy: -224.107 eV/f.u.
* density of states at the Fermi level: 0.0 states/eV/cell
* ΔE_f (raw): -3.072 eV per atom
* mass density: 3.173 g/cm³

***

The following is a PBE calculation of crystalline Rb2CaNbF6 at its relaxed geometry, from the Alexandria database.

a b c (Å): 6.3399 6.3399 6.3399
angles (deg): 60.00 60.00 60.00
Sites, in units of the cell vectors:
Rb1 0.2500 0.2500 0.2500
Rb2 0.7500 0.7500 0.7500
Ca1 0.0000 0.0000 0.0000
Nb1 0.5000 0.5000 0.5000
F1 0.2505 0.2505 0.7495
F2 0.2505 0.7495 0.2505
F3 0.2505 0.7495 0.7495
F4 0.7495 0.2505 0.2505
F5 0.7495 0.2505 0.7495
F6 0.7495 0.7495 0.2505

* total energy: -53.835 eV/f.u.
* density of states at the Fermi level: 0.0 states/eV/cell
* ΔE_f (raw): -2.860 eV per atom
* mass density: 3.851 g/cm³

***

The following is a PBE calculation of crystalline Ca2NbSeF at its relaxed geometry, from the Alexandria database.

a b c (Å): 4.4574 4.4574 5.7461
angles (deg): 90.00 90.00 90.00
Sites, in units of the cell vectors:
Ca1 0.0000 0.5000 0.0000
Ca2 0.5000 0.0000 0.0000
Nb1 0.0000 0.0000 0.5000
Se1 0.5000 0.5000 0.5000
F1 0.5000 0.5000 0.0000

* total energy: -23.513 eV/f.u.
* density of states at the Fermi level: 2.9 states/eV/cell
* ΔE_f (raw): -0.817 eV per atom
* mass density: 3.942 g/cm³

***

The following is a PBE calculation of crystalline CaNbSe2F at its relaxed geometry, from the Alexandria database.

a b c (Å): 5.1636 5.1636 4.1635
angles (deg): 90.00 90.00 90.00
Sites, in units of the cell vectors:
Ca1 0.0000 0.0000 0.0000
Nb1 0.5000 0.5000 0.5000
Se1 0.0000 0.5000 0.5000
Se2 0.5000 0.0000 0.5000
F1 0.5000 0.5000 0.0000

* total energy: -28.338 eV/f.u.
* density of states at the Fermi level: 2.0 states/eV/cell
* ΔE_f (raw): -1.485 eV per atom
* mass density: 4.636 g/cm³

***

The following is a PBE calculation of crystalline Sr2CaNbF at its relaxed geometry, from the Alexandria database.

a b c (Å): 5.7371 5.7371 4.5780
angles (deg): 90.00 90.00 90.00
Sites, in units of the cell vectors:
Sr1 0.0000 0.5000 0.0000
Sr2 0.5000 0.0000 0.0000
Ca1 0.0000 0.0000 0.5000
Nb1 0.5000 0.5000 0.5000
F1 0.5000 0.5000 0.0000

* total energy: -19.150 eV/f.u.
* density of states at the Fermi level: 3.8 states/eV/cell
* ΔE_f (raw): -0.369 eV per atom
* mass density: 3.606 g/cm³

***

The following is a PBE calculation of crystalline CaZrNbF2 at its relaxed geometry, from the Alexandria database.

a b c (Å): 4.1105 4.1105 8.7681
angles (deg): 90.00 90.00 90.00
Sites, in units of the cell vectors:
Ca1 0.0000 0.0000 0.0000
Zr1 0.0000 0.0000 0.5000
Nb1 0.5000 0.5000 0.5000
F1 0.0000 0.5000 0.0000
F2 0.5000 0.0000 0.0000

* total energy: -29.423 eV/f.u.
* density of states at the Fermi level: 3.6 states/eV/cell
* ΔE_f (raw): -1.012 eV per atom
* mass density: 2.939 g/cm³

***

The following is a PBE calculation of crystalline Ca3NdF8 at its relaxed geometry, from the Alexandria database.

a b c (Å): 5.5976 5.5976 5.5976
angles (deg): 90.00 90.00 90.00
Sites, in units of the cell vectors:
Ca1 0.0000 0.0000 0.5000
Ca2 0.0000 0.5000 0.0000
Ca3 0.5000 0.0000 0.0000
Nd1 0.5000 0.5000 0.5000
F1 0.2447 0.2447 0.2447
F2 0.2447 0.2447 0.7553
F3 0.2447 0.7553 0.2447
F4 0.2447 0.7553 0.7553
F5 0.7553 0.2447 0.2447
F6 0.7553 0.2447 0.7553
F7 0.7553 0.7553 0.2447
F8 0.7553 0.7553 0.7553

* total energy: -70.872 eV/f.u.
* density of states at the Fermi level: 3.3 states/eV/cell
* ΔE_f (raw): -3.761 eV per atom
* mass density: 3.943 g/cm³